Entry 1:
# Zr2TaCl | the Alexandria database | PBEsol | relaxed
data_Zr2TaCl
_chemical_formula_sum 'Zr4 Ta2 Cl2'
_cell_length_a 10.4028
_cell_length_b 3.1507
_cell_length_c 5.4833
_cell_angle_alpha 90.00
_cell_angle_beta 119.74
_cell_angle_gamma 90.00
_symmetry_space_group_name_H-M 'C 1 2/m 1'
_symmetry_Int_Tables_number 12
loop_
_symmetry_equiv_pos_as_xyz
'x,y,z'
'-x,-y,-z'
'-x,y,-z'
'x,-y,z'
'x+1/2,y+1/2,z'
'-x+1/2,-y+1/2,-z'
'-x+1/2,y+1/2,-z'
'x+1/2,-y+1/2,z'
loop_
_atom_site_label
_atom_site_type_symbol
_atom_site_fract_x
_atom_site_fract_y
_atom_site_fract_z
_atom_site_occupancy
Zr1 Zr 0.2219 0.0000 0.2242 1
Ta1 Ta 0.0000 0.0000 0.5000 1
Cl1 Cl 0.0000 0.5000 0.0000 1
# energy above the lowest structure with this stoichiometry = 10.11 kJ/mol of atoms
# Fermi-level density of states = 7.9 states/eV/cell
# ρ = 8.5 Mg/m³

***

Entry 2:
# Bi2S6O21 | the Alexandria database | PBEsol | relaxed
data_Bi2S6O21
_chemical_formula_sum 'Bi4 S12 O42'
_cell_length_a 6.6138
_cell_length_b 10.2032
_cell_length_c 11.6363
_cell_angle_alpha 90.67
_cell_angle_beta 96.20
_cell_angle_gamma 94.50
_symmetry_space_group_name_H-M 'P -1'
_symmetry_Int_Tables_number 2
loop_
_symmetry_equiv_pos_as_xyz
'x,y,z'
'-x,-y,-z'
loop_
_atom_site_label
_atom_site_type_symbol
_atom_site_fract_x
_atom_site_fract_y
_atom_site_fract_z
_atom_site_occupancy
Bi1 Bi 0.0830 0.0934 0.2627 1
Bi2 Bi 0.3295 0.4115 0.7199 1
S1 S 0.0807 0.8126 0.4514 1
S2 S 0.1439 0.4462 0.2379 1
S3 S 0.1712 0.1667 0.9305 1
S4 S 0.2002 0.6674 0.9057 1
S5 S 0.4266 0.0692 0.7732 1
S6 S 0.4594 0.7018 0.5401 1
O1 O 0.0041 0.5068 0.6902 1
O2 O 0.0041 0.9115 0.1297 1
O3 O 0.0271 0.4233 0.1102 1
O4 O 0.0306 0.8040 0.5698 1
O5 O 0.0746 0.2468 0.6349 1
O6 O 0.1598 0.9434 0.4198 1
O7 O 0.1746 0.7754 0.8243 1
O8 O 0.1827 0.1664 0.0544 1
O9 O 0.2061 0.2975 0.8832 1
O10 O 0.2165 0.3203 0.2743 1
O11 O 0.2241 0.7023 0.0253 1
O12 O 0.2425 0.0072 0.7072 1
O13 O 0.2620 0.7172 0.4417 1
O14 O 0.3101 0.5436 0.2216 1
O15 O 0.3439 0.5767 0.8703 1
O16 O 0.3711 0.0871 0.9061 1
O17 O 0.3730 0.6235 0.6295 1
O18 O 0.4071 0.0140 0.2102 1
O19 O 0.4164 0.3733 0.5289 1
O20 O 0.4567 0.1682 0.4240 1
O21 O 0.4839 0.2004 0.7337 1
# energy = -6.3189 eV per atom
# Fermi-level density of states = 0.0 states/eV/cell
# ρ = 4.0 Mg/m³

***

Entry 3:
# SrHfTc3 | the Alexandria database | PBEsol | relaxed
data_SrHfTc3
_chemical_formula_sum 'Sr1 Hf1 Tc3'
_cell_length_a 4.8275
_cell_length_b 4.8275
_cell_length_c 4.8275
_cell_angle_alpha 90.00
_cell_angle_beta 90.00
_cell_angle_gamma 90.00
_symmetry_space_group_name_H-M 'P m -3 m'
_symmetry_Int_Tables_number 221
_symmetry_space_group_name_Hall '-P 4 2 3'
loop_
_atom_site_label
_atom_site_type_symbol
_atom_site_fract_x
_atom_site_fract_y
_atom_site_fract_z
_atom_site_occupancy
Sr1 Sr 0.0000 0.0000 0.0000 1
Hf1 Hf 0.5000 0.5000 0.5000 1
Tc1 Tc 0.0000 0.5000 0.5000 1
# Fermi-level density of states = 5.3 states/eV/cell
# ρ = 8.3 Mg/m³
# energy relative to the elements = 1.476 eV per atom

***

Entry 4:
# MgTlPb2 | the Alexandria database | PBEsol | relaxed
data_MgTlPb2
_chemical_formula_sum 'Mg3 Tl3 Pb6'
_cell_length_a 3.4415
_cell_length_b 3.4415
_cell_length_c 32.2656
_cell_angle_alpha 90.00
_cell_angle_beta 90.00
_cell_angle_gamma 120.00
_symmetry_space_group_name_H-M 'R -3 m'
_symmetry_Int_Tables_number 166
_symmetry_space_group_name_Hall '-R 3 2"'
loop_
_atom_site_label
_atom_site_type_symbol
_atom_site_fract_x
_atom_site_fract_y
_atom_site_fract_z
_atom_site_occupancy
Mg1 Mg 0.0000 0.0000 0.0000 1
Tl1 Tl 0.0000 0.0000 0.5000 1
Pb1 Pb 0.0000 0.0000 0.2554 1
# Fermi-level density of states = 4.7 states/eV/cell
# ρ = 9.7 Mg/m³
# energy relative to the elements = -0.032 eV per atom

***

Entry 5:
# Te3Ir | the Alexandria database | PBEsol | relaxed
data_Te3Ir
_chemical_formula_sum 'Te6 Ir2'
_cell_length_a 5.6706
_cell_length_b 5.6706
_cell_length_c 5.6706
_cell_angle_alpha 90.00
_cell_angle_beta 90.00
_cell_angle_gamma 90.00
_symmetry_space_group_name_H-M 'P m -3 n'
_symmetry_Int_Tables_number 223
_symmetry_space_group_name_Hall '-P 4n 2 3'
loop_
_atom_site_label
_atom_site_type_symbol
_atom_site_fract_x
_atom_site_fract_y
_atom_site_fract_z
_atom_site_occupancy
Te1 Te 0.0000 0.2500 0.5000 1
Ir1 Ir 0.0000 0.0000 0.0000 1
# energy = -4.2432 eV per atom
# Fermi-level density of states = 7.1 states/eV/cell
# ρ = 10.5 Mg/m³

***

Entry 6:
# LiAlAg | the Alexandria database | PBEsol | relaxed
data_LiAlAg
_chemical_formula_sum 'Li2 Al2 Ag2'
_cell_length_a 3.2280
_cell_length_b 3.2280
_cell_length_c 8.6497
_cell_angle_alpha 90.00
_cell_angle_beta 90.00
_cell_angle_gamma 90.00
_symmetry_space_group_name_H-M 'I 4 m m'
_symmetry_Int_Tables_number 107
_symmetry_space_group_name_Hall 'I 4 -2'
loop_
_atom_site_label
_atom_site_type_symbol
_atom_site_fract_x
_atom_site_fract_y
_atom_site_fract_z
_atom_site_occupancy
Li1 Li 0.0000 0.0000 0.0000 1
Al1 Al 0.0000 0.0000 0.6690 1
Ag1 Ag 0.0000 0.0000 0.3400 1
# energy above the lowest structure with this stoichiometry = 0.00 kJ/mol of atoms
# Fermi-level density of states = 1.7 states/eV/cell
# ρ = 5.2 Mg/m³
# energy relative to the elements = -0.201 eV per atom